Entry 1:
An optimized crystal structure of Rb2ZnSb. Source: Alexandria via LeMat-Bulk, functional GGA-PBE.

Output
E_form (uncorrected) (kJ/mol of formula units): -85
Excess energy over the best structure of this formula in the dataset (meV per atom): 0

Unit cell a=5.467 b=6.841 c=11.080 alpha=82.35 beta=75.96 gamma=66.90
Space group P-1 (No. 2)
Inequivalent atoms, fractional coordinates:
Rb  0.152  0.233  0.410 (multiplicity 2)
Rb  0.209  0.733  0.909 (multiplicity 2)
Zn  0.285  0.250  0.750 (multiplicity 2)
Sb  0.217  0.750  0.250 (multiplicity 2)

Entry 2:
An optimized crystal structure of Ta4NiAs. Source: Alexandria via LeMat-Bulk, functional GGA-PBE.

Output
Excess energy over the best structure of this formula in the dataset (meV per atom): 0
ΔE_f (eV/atom): -0.273

Unit cell a=6.250 b=6.250 c=5.051 alpha=90.00 beta=90.00 gamma=90.00
Space group P4/mcc (No. 124)
Inequivalent atoms, fractional coordinates:
Ta  0.149  0.332  0.000 (multiplicity 8)
Ni  0.000  0.000  0.250 (multiplicity 2)
As  0.500  0.500  0.250 (multiplicity 2)

Entry 3:
An optimized crystal structure of TbNdPa4. Source: Alexandria via LeMat-Bulk, functional GGA-PBE.

Output
ΔE_f (eV/atom): 0.241

Unit cell a=8.733 b=8.733 c=8.733 alpha=90.00 beta=90.00 gamma=90.00
Space group F-43m (No. 216)
Inequivalent atoms, fractional coordinates:
Tb  0.000  0.000  0.000 (multiplicity 4)
Nd  0.250  0.250  0.750 (multiplicity 4)
Pa  0.125  0.125  0.375 (multiplicity 16)

Entry 4:
An optimized crystal structure of CaTbCePr. Source: Alexandria via LeMat-Bulk, functional GGA-PBE.

Output
ΔE_f (eV/atom): 0.237

Unit cell a=8.250 b=8.250 c=8.250 alpha=90.00 beta=90.00 gamma=90.00
Space group F-43m (No. 216)
Inequivalent atoms, fractional coordinates:
Ca  0.000  0.000  0.000 (multiplicity 4)
Tb  0.250  0.250  0.750 (multiplicity 4)
Ce  0.000  0.000  0.500 (multiplicity 4)
Pr  0.250  0.250  0.250 (multiplicity 4)

Entry 5:
An optimized crystal structure of InCo2Ru. Source: Alexandria via LeMat-Bulk, functional GGA-PBE.

Output
ΔE_f (eV/atom): 0.259

Unit cell a=4.223 b=4.223 c=3.158 alpha=90.00 beta=90.00 gamma=90.00
Space group P4/mmm (No. 123)
Inequivalent atoms, fractional coordinates:
In  0.000  0.000  0.000 (multiplicity 1)
Co  0.000  0.500  0.500 (multiplicity 2)
Ru  0.500  0.500  0.000 (multiplicity 1)

Entry 6:
An optimized crystal structure of NaAc2Au9. Source: Alexandria via LeMat-Bulk, functional GGA-PBE.

Output
ΔE_f (eV/atom): -0.423

Unit cell a=5.8264 b=5.8264 c=27.9300 alpha=90.00 beta=90.00 gamma=120.00
Space group R-3m (No. 166, hexagonal axes)
Inequivalent atoms, fractional coordinates:
Na  0.0000  0.0000  0.0000 (multiplicity 3)
Ac  0.0000  0.0000  0.1376 (multiplicity 6)
Au  0.0000  0.0000  0.3333 (multiplicity 6)
Au  0.0000  0.0000  0.5000 (multiplicity 3)
Au  0.0040  0.5020  0.9171 (multiplicity 18)

Entry 7:
An optimized crystal structure of YTe2IBr. Source: Alexandria via LeMat-Bulk, functional GGA-PBE.

Output
E_form (uncorrected) (kJ/mol of formula units): 106
Excess energy over the best structure of this formula in the dataset (meV per atom): 541

Unit cell a=5.727 b=5.727 c=5.452 alpha=90.00 beta=90.00 gamma=90.00
Space group P4/mmm (No. 123)
Inequivalent atoms, fractional coordinates:
Y  0.000  0.000  0.000 (multiplicity 1)
Te  0.000  0.500  0.500 (multiplicity 2)
I  0.500  0.500  0.000 (multiplicity 1)
Br  0.500  0.500  0.500 (multiplicity 1)

Entry 8:
An optimized crystal structure of Ca3Cd4Hg4. Source: Alexandria via LeMat-Bulk, functional GGA-PBE.

Output
ΔE_f (eV/atom): -0.348

Unit cell a=3.620 b=4.917 c=15.998 alpha=98.77 beta=96.41 gamma=90.04
Space group P-1 (No. 2)
Inequivalent atoms, fractional coordinates:
Ca  0.000  0.000  0.000 (multiplicity 1)
Ca  0.139  0.640  0.281 (multiplicity 2)
Cd  0.262  0.265  0.528 (multiplicity 2)
Cd  0.412  0.908  0.815 (multiplicity 2)
Hg  0.317  0.818  0.633 (multiplicity 2)
Hg  0.456  0.453  0.907 (multiplicity 2)